# Ca3Fe3As4O16, single point on PBEsol structure, DFT SCAN
data_Ca3Fe3As4O16
_chemical_formula_sum 'Ca6 Fe6 As8 O32'
_cell_length_a 9.117
_cell_length_b 5.034
_cell_length_c 17.116
_cell_angle_alpha 90.00
_cell_angle_beta 116.79
_cell_angle_gamma 90.00
_space_group_name_H-M_alt 'P 1 21/c 1'
_space_group_IT_number 14
loop_
_space_group_symop_operation_xyz
'x,y,z'
'-x,-y,-z'
'-x,y+1/2,-z+1/2'
'x,-y+1/2,z+1/2'
loop_
_atom_site_label
_atom_site_fract_x
_atom_site_fract_y
_atom_site_fract_z
Ca1 0.000 0.000 0.000
Ca2 0.311 0.044 0.269
Fe1 0.207 0.540 0.382
Fe2 0.500 0.000 0.500
As1 0.039 0.523 0.159
As2 0.437 0.508 0.599
O1 0.024 0.635 0.643
O2 0.098 0.136 0.591
O3 0.148 0.584 0.849
O4 0.193 0.034 0.763
O5 0.252 0.548 0.509
O6 0.418 0.193 0.919
O7 0.439 0.628 0.691
O8 0.496 0.685 0.895
# Energy   -12.082 eV/atom
# Total magnetic moment   24.00 μB/cell
# Energy relative to the elements, uncorrected   -1935 meV per atom